Record 1
Material: NaCaIO2
Method: DFT, PBE
State: optimized geometry

Cell and atoms, written as extended XYZ:
```
5
Lattice="4.468 0.000 0.000 0.000 4.468 0.000 0.000 0.000 5.590" Properties=species:S:1:pos:R:3 pbc="T T T"
O 0.000 2.234 0.000
Na 0.000 0.000 0.000
Ca 2.234 2.234 2.795
O 2.234 0.000 0.000
I 0.000 0.000 2.795
```

Calculated values
E above lowest polymorph: 406 meV/atom
Theoretical density: 3.3 Mg/m³
Formation energy (no corrections): -0.55 eV/atom



Record 2
Material: Tb6Y2Sc
Method: DFT, PBE
State: optimized geometry

Cell and atoms, written as extended XYZ:
```
18
Lattice="-5.075 1.772 -4.733 -7.378 -5.897 0.967 -6.205 5.887 4.121" Properties=species:S:1:pos:R:3 pbc="T T T"
Tb -13.966 3.865 1.204
Y -12.297 0.884 0.560
Tb -15.870 0.433 0.977
Y -6.361 0.878 -0.204
Tb -4.692 -2.103 -0.848
Tb -9.476 -0.850 -0.145
Tb -6.981 -1.661 1.961
Sc -10.995 -2.670 -2.074
Tb -11.676 3.423 -1.605
Tb -5.489 0.577 -3.426
Tb -11.943 -2.193 2.186
Sc -7.662 4.432 2.430
Y -8.934 1.412 -2.665
Tb -2.788 1.329 -0.621
Tb -9.182 2.612 0.500
Y -9.724 0.350 3.020
Tb -6.714 3.955 -1.830
Tb -13.169 1.185 3.781
```

Calculated values
E above lowest polymorph: 134 meV/atom
Theoretical density: 6.8 Mg/m³



Record 3
Material: PrNiSnPt
Method: DFT, PBE
State: optimized geometry

Cell and atoms, written as extended XYZ:
```
4
Lattice="-1.840 -3.892 -2.232 2.649 -4.042 -0.403 -1.180 -3.939 2.572" Properties=species:S:1:pos:R:3 pbc="T T T"
Pt -0.186 -5.936 -0.032
Sn -0.278 -8.905 -0.048
Pr -0.093 -2.968 -0.016
Ni 0.000 0.000 0.000
```

Calculated values
Theoretical density: 10.6 Mg/m³
E_tot: -5.697 eV/atom



Record 4
Material: In2HCl
Method: DFT, PBE
State: optimized geometry

Cell and atoms, written as extended XYZ:
```
4
Lattice="-2.905 -2.124 0.089 2.570 -3.625 -2.629 1.642 -2.058 4.441" Properties=species:S:1:pos:R:3 pbc="T T T"
H -1.453 -1.062 0.045
In 0.821 -1.029 2.221
Cl 0.653 -3.903 0.951
In 1.285 -1.812 -1.315
```

Calculated values
E above lowest polymorph: 91 meV/atom
Theoretical density: 4.6 Mg/m³



Record 5
Material: Hf2NiPt6
Method: DFT, PBE
State: optimized geometry

Cell and atoms, written as extended XYZ:
```
9
Lattice="3.767 0.000 -1.127 -0.613 6.029 -2.049 -0.144 0.102 6.379" Properties=species:S:1:pos:R:3 pbc="T T T"
Pt 0.869 5.078 2.906
Pt 2.744 3.046 2.313
Pt 2.129 5.077 0.256
Ni 1.577 3.015 -1.588
Pt 2.141 1.054 0.298
Hf 3.310 1.212 4.206
Pt 0.266 3.086 0.891
Hf -0.300 4.920 -1.002
Pt 0.881 1.054 2.947
```

Calculated values
Theoretical density: 18.2 Mg/m³
E_tot: -7.696 eV/atom



Record 6
Material: Er7Cu2Ni2
Method: DFT, PBE
State: optimized geometry

Cell and atoms, written as extended XYZ:
```
11
Lattice="0.682 3.537 -5.423 -2.486 -5.176 -3.688 -5.860 0.899 2.689" Properties=species:S:1:pos:R:3 pbc="T T T"
Er 0.000 0.000 0.000
Ni -3.924 1.679 0.289
Er -4.771 -3.387 -1.391
Ni -3.740 -2.419 -6.710
Er -2.894 2.646 -5.030
Er -4.445 -1.647 -4.123
Er -0.304 0.428 -3.663
Er -3.220 0.907 -2.298
Cu -2.130 -1.828 -2.312
Er -7.361 -1.168 -2.758
Cu -5.535 1.088 -4.109
```

Calculated values
Theoretical density: 8.7 Mg/m³
E_tot: -4.785 eV/atom



Record 7
Material: RbSr2TlO4
Method: DFT, PBE
State: optimized geometry

Cell and atoms, written as extended XYZ:
```
16
Lattice="7.420 0.118 0.011 0.113 7.420 0.011 -3.710 -3.713 5.319" Properties=species:S:1:pos:R:3 pbc="T T T"
O 0.016 -0.166 2.815
O 3.806 3.991 2.527
Tl 1.911 1.913 2.671
O 3.328 0.303 2.534
Rb 5.621 1.972 2.676
Sr 3.766 3.769 0.011
O 5.456 5.642 0.167
Sr 5.565 -1.738 2.671
Tl -3.597 3.707 5.330
O 0.495 3.522 2.807
O -1.633 -1.816 5.175
Rb 0.056 3.710 0.006
O 2.099 -2.180 5.194
Sr 3.710 0.059 0.006
Sr 1.855 -1.797 2.665
O 1.724 6.005 0.148
```

Calculated values
Theoretical density: 6.0 Mg/m³
Formation energy (no corrections): -1.73 eV/atom



Record 8
Material: TiGa3Au
Method: DFT, PBE
State: optimized geometry

Cell and atoms, written as extended XYZ:
```
5
Lattice="-0.755 -1.628 4.611 4.639 -1.713 0.154 1.546 4.347 1.788" Properties=species:S:1:pos:R:3 pbc="T T T"
Ga -0.377 -0.814 2.306
Ga 2.320 -0.857 0.077
Au 2.715 0.503 3.277
Ti 0.000 0.000 0.000
Ga 0.773 2.173 0.894
```

Calculated values
E above lowest polymorph: 0 meV/atom
Theoretical density: 6.2 Mg/m³



Record 9
Material: HgSb2Pb4
Method: DFT, PBE
State: optimized geometry

Cell and atoms, written as extended XYZ:
```
14
Lattice="-1.981 8.310 0.846 -4.725 -3.907 -6.005 -1.066 -3.709 7.040" Properties=species:S:1:pos:R:3 pbc="T T T"
Pb -3.911 -4.932 1.691
Sb -5.272 0.376 -3.844
Hg -4.540 -2.729 -0.750
Pb -3.243 5.221 0.664
Pb -2.248 -0.837 5.779
Sb -3.935 1.982 0.187
Pb -2.808 -0.252 -1.808
Sb -2.165 -2.385 2.980
Pb -5.821 3.197 -2.131
Sb -4.176 1.419 4.435
Pb -6.762 -0.173 -1.025
Pb -4.695 -0.702 1.898
Hg -6.672 4.382 -5.133
Pb -1.659 1.294 2.407
```

Calculated values
E above lowest polymorph: 0 meV/atom
Theoretical density: 9.6 Mg/m³
Formation energy (no corrections): 0.04 eV/atom



Record 10
Material: SiPRu
Method: DFT, PBE
State: optimized geometry

Cell and atoms, written as extended XYZ:
```
6
Lattice="-2.542 -0.986 1.354 2.158 -0.547 3.653 -1.449 6.182 1.781" Properties=species:S:1:pos:R:3 pbc="T T T"
Ru -2.362 4.164 2.019
Si -0.081 0.345 0.099
P -1.586 5.184 4.218
Ru 0.712 1.292 2.277
Si -0.997 2.670 3.493
P -0.670 2.859 0.824
```

Calculated values
Theoretical density: 6.2 Mg/m³
Formation energy (no corrections): -0.21 eV/atom